1.
Entry from Alexandria: LaBe2P after structural relaxation (PBE-GGA).

Calculated formation energy = -0.379 eV/atom
Space-group type = Pmmm

```
LaBe2P
1.0
-0.846 3.581 1.037
-3.458 -1.500 2.358
2.495 -0.397 3.405
P Be La
1 2 1
Cartesian
-1.145 0.367 4.841
-2.574 -1.128 1.795
-1.365 -1.321 3.445
-0.664 1.316 1.960
```

=====

2.
Entry from Alexandria: AcMnSn3 after structural relaxation (PBE-GGA).

Calculated formation energy = -0.162 eV/atom
Space-group type = Pm-3m

```
AcMnSn3
1.0
-3.304 1.327 3.756
-3.498 -3.302 -1.911
1.906 -3.758 3.004
Ac Mn Sn
1 1 3
Cartesian
-2.448 -2.867 2.425
0.000 0.000 0.000
-1.749 -1.651 -0.955
0.953 -1.879 1.502
-1.652 0.663 1.878
```

=====

3.
Entry from Alexandria: SrAlCd4 after structural relaxation (PBE-GGA).

Calculated formation energy = -0.054 eV/atom
Space-group type = F-43m

```
SrAlCd4
1.0
-5.439 -2.446 0.865
-4.402 3.254 2.519
-4.685 1.817 -3.326
Sr Al Cd
1 1 4
Cartesian
-10.894 1.969 0.043
0.000 0.000 0.000
-8.168 -0.243 0.455
-7.790 1.895 -1.646
-7.649 2.615 1.284
-5.442 0.984 0.022
```

=====

4.
Entry from Alexandria: KTiN2O after structural relaxation (PBE-GGA).

Uncorrected formation energy = -0.492 eV/atom
Space-group type = P4/mmm

```
KTiN2O
1.0
-1.287 -3.934 0.445
3.441 -1.343 -1.920
1.851 -0.213 3.466
K N O Ti
1 2 1 1
Cartesian
2.003 -2.745 0.996
1.720 -0.671 -0.960
-0.643 -1.967 0.223
0.926 -0.107 1.733
0.000 0.000 0.000
```